Entry 1:
Here is DyZnSn after structural relaxation from the Alexandria database. Energies are from GGA-PBE.

Cell and atoms, written as CIF:
```
data_DyZnSn
_cell_length_a 4.604
_cell_length_b 7.126
_cell_length_c 8.320
_cell_angle_alpha 90.00
_cell_angle_beta 90.00
_cell_angle_gamma 90.00
_symmetry_space_group_name_H-M 'I m m m'
_symmetry_Int_Tables_number 71
_symmetry_space_group_name_Hall '-I 2 2'
loop_
_atom_site_label
_atom_site_type_symbol
_atom_site_fract_x
_atom_site_fract_y
_atom_site_fract_z
Dy1 Dy 0.000 0.248 0.000
Zn1 Zn 0.000 0.000 0.349
Sn1 Sn 0.000 0.500 0.321
```

Properties
The value obtained for the total magnetization is 0.00 μB/f.u. The calculation puts the formation energy from the elements at -497 meV/atom. The calculation puts the energy at -0.1393 hartree per atom.

---

Entry 2:
Here is Na2ScInSi4O12 after structural relaxation from the Alexandria database. Energies are from GGA-PBE.

Cell and atoms, written as CIF:
```
data_Na2ScInSi4O12
_cell_length_a 10.043
_cell_length_b 9.210
_cell_length_c 5.431
_cell_angle_alpha 90.00
_cell_angle_beta 107.51
_cell_angle_gamma 90.00
_symmetry_space_group_name_H-M 'C 1 2 1'
_symmetry_Int_Tables_number 5
loop_
_symmetry_equiv_pos_as_xyz
'x,y,z'
'-x,y,-z'
'x+1/2,y+1/2,z'
'-x+1/2,y+1/2,-z'
loop_
_atom_site_label
_atom_site_type_symbol
_atom_site_fract_x
_atom_site_fract_y
_atom_site_fract_z
Na1 Na 0.000 0.000 0.000
Na2 Na 0.000 0.397 0.500
Sc1 Sc 0.000 0.591 0.000
In1 In 0.000 0.804 0.500
Si1 Si 0.209 0.286 0.003
Si2 Si 0.210 0.113 0.504
O1 O 0.118 0.618 0.394
O2 O 0.120 0.778 0.905
O3 O 0.138 0.444 0.942
O4 O 0.144 0.954 0.434
O5 O 0.150 0.192 0.727
O6 O 0.153 0.207 0.229
```

Properties
The calculation puts the uncorrected formation energy at -2640 meV/atom. The value obtained for the total magnetization is 0.00 μB/f.u. The calculation puts the energy at -0.2677 hartree per atom.

---

Entry 3:
Here is MnBi2PBr after structural relaxation from the Alexandria database. Energies are from GGA-PBE.

Cell and atoms, written as CIF:
```
data_MnBi2PBr
_cell_length_a 5.769
_cell_length_b 5.769
_cell_length_c 4.586
_cell_angle_alpha 90.00
_cell_angle_beta 90.00
_cell_angle_gamma 90.00
_symmetry_space_group_name_H-M 'P 4/m m m'
_symmetry_Int_Tables_number 123
_symmetry_space_group_name_Hall '-P 4 2'
loop_
_atom_site_label
_atom_site_type_symbol
_atom_site_fract_x
_atom_site_fract_y
_atom_site_fract_z
Mn1 Mn 0.000 0.000 0.000
Bi1 Bi 0.000 0.500 0.500
P1 P 0.500 0.500 0.000
Br1 Br 0.000 0.000 0.500
```

Properties
The calculation puts the uncorrected formation energy at 1141 meV/atom. The value obtained for the total magnetization is 3.91 μB/f.u. The calculation puts the energy at -0.1346 hartree per atom.

---

Entry 4:
Here is LaCdIr2 after structural relaxation from the Alexandria database. Energies are from GGA-PBE.

Cell and atoms, written as CIF:
```
data_LaCdIr2
_cell_length_a 7.571
_cell_length_b 7.571
_cell_length_c 5.993
_cell_angle_alpha 90.00
_cell_angle_beta 90.00
_cell_angle_gamma 90.00
_symmetry_space_group_name_H-M 'I -4 2 d'
_symmetry_Int_Tables_number 122
_symmetry_space_group_name_Hall 'I -4 2bw'
loop_
_atom_site_label
_atom_site_type_symbol
_atom_site_fract_x
_atom_site_fract_y
_atom_site_fract_z
La1 La 0.000 0.000 0.000
Cd1 Cd 0.000 0.000 0.500
Ir1 Ir 0.234 0.750 0.625
```

Properties
The value obtained for the total magnetization is 0.00 μB/f.u. The calculation puts the formation energy from the elements at 182 meV/atom. The calculation puts the energy at -0.2098 hartree per atom.

---

> energy of number 1 (DyZnSn)?

-0.1393 hartree per atom